VASP calculation (GGA-PBE) on an optimized crystal structure of LaInCl2.

```
LaInCl2
1.0
5.023 -1.874 0.000
5.023 1.874 0.000
-1.397 0.000 5.901
La In Cl
1 1 2
Direct
0.000 0.000 0.000
0.500 0.500 0.500
0.282 0.282 0.792
0.718 0.718 0.208
```

Calculated density: 4.85 g/cm³
Formation energy without anion corrections: -1.33 eV per atom

=====

VASP calculation (GGA-PBE) on an optimized crystal structure of La4InCl.

```
La4InCl
1.0
0.000 4.619 4.619
4.619 0.000 4.619
4.619 4.619 0.000
La In Cl
4 1 1
Direct
0.379 0.379 0.379
0.379 0.379 0.864
0.379 0.864 0.379
0.864 0.379 0.379
0.750 0.750 0.750
0.000 0.000 0.000
```

Calculated density: 5.95 g/cm³
Formation energy without anion corrections: -0.03 eV per atom

=====

VASP calculation (GGA-PBE) on an optimized crystal structure of La4In2Cl.

```
La4In2Cl
1.0
6.323 -2.294 0.000
6.323 2.294 0.000
-5.087 0.000 7.724
La In Cl
4 2 1
Direct
0.084 0.084 0.365
0.329 0.329 0.923
0.671 0.671 0.077
0.916 0.916 0.635
0.371 0.371 0.335
0.629 0.629 0.665
0.000 0.000 0.000
```

Calculated density: 6.08 g/cm³
Formation energy without anion corrections: -0.74 eV per atom

=====

VASP calculation (GGA-PBE) on an optimized crystal structure of LaInCl2.

```
LaInCl2
1.0
1.853 1.070 10.383
-1.853 1.070 10.383
0.000 -2.140 10.383
La In Cl
1 1 2
Direct
0.000 0.000 0.000
0.500 0.500 0.500
0.397 0.397 0.397
0.603 0.603 0.603
```

Calculated density: 4.36 g/cm³
Formation energy without anion corrections: -1.36 eV per atom

=====

VASP calculation (GGA-PBE) on an optimized crystal structure of LaInCl2.

```
LaInCl2
1.0
0.000 3.800 3.800
3.800 0.000 3.800
3.800 3.800 0.000
La In Cl
1 1 2
Direct
0.000 0.000 0.000
0.250 0.250 0.250
0.500 0.500 0.500
0.750 0.750 0.750
```

Calculated density: 4.91 g/cm³
Formation energy without anion corrections: -0.80 eV per atom

=====

VASP calculation (GGA-PBE) on an optimized crystal structure of LaInCl.

```
LaInCl
1.0
5.006 0.000 0.000
-2.503 4.336 0.000
0.000 0.000 4.105
La In Cl
1 1 1
Direct
0.000 0.000 0.000
0.333 0.667 0.500
0.667 0.333 0.000
```

Calculated density: 5.39 g/cm³
Formation energy without anion corrections: -0.86 eV per atom

=====

no.,density of states at the Fermi level (states/eV per atom)
1,0.569
2,1.295
3,1.114
4,0.781
5,0.983
6,0.941